1.
The following is a PBE calculation of a relaxed structure of TbDy5P6, from the Alexandria database.

Cell lengths 6.947, 6.947, 6.947 Å; angles 99.61, 99.61, 119.97 degrees
Fractional coordinates of all 12 atoms:
Tb (0.000, 0.000, 0.000)
Dy (0.167, 0.833, 0.500)
Dy (0.333, 0.667, 0.000)
Dy (0.500, 0.500, 0.500)
Dy (0.667, 0.333, 0.000)
Dy (0.833, 0.167, 0.500)
P (0.083, 0.417, 0.250)
P (0.251, 0.251, 0.750)
P (0.417, 0.083, 0.250)
P (0.583, 0.917, 0.750)
P (0.749, 0.749, 0.250)
P (0.917, 0.583, 0.750)

Properties
As for the crystal system: monoclinic. The total magnetic moment comes out at 0.0000 μB per atom. The value obtained for the calculated total energy is -79.486 eV per cell. The calculated density is 7.0 Mg/m³.

=====

2.
The following is a PBE calculation of a relaxed structure of Ba2InAg, from the Alexandria database.

Cell lengths 7.609, 7.609, 7.609 Å; angles 104.78, 104.78, 119.32 degrees
Fractional coordinates of all 8 atoms:
Ba (0.097, 0.625, 0.972)
Ba (0.375, 0.347, 0.472)
Ba (0.653, 0.125, 0.028)
Ba (0.875, 0.903, 0.528)
In (0.250, 0.750, 0.500)
In (0.500, 0.500, 0.000)
Ag (0.000, 0.000, 0.000)
Ag (0.750, 0.250, 0.500)

Properties
As for the crystal system: tetragonal. The total magnetic moment comes out at 0.0002 μB per atom. The value obtained for the calculated total energy is -19.077 eV per cell. The calculated density is 5.0 Mg/m³.

=====

Q: The highest total magnetic moment belongs to which entry?
A: Ba2InAg